RbAlPb (PBE, relaxed); N(E_F) = 0.85 states/eV/cell; space group = No. 51; calculated total energy = -2.632 eV per atom; V = 118 Å³/f.u.
1.0
-5.838 0.319 -4.347
-3.363 -3.639 4.248
-1.504 4.100 2.321
Pb Rb Al
2 2 2
direct
0.250 0.500 0.935
0.750 0.500 0.065
0.250 0.000 0.301
0.750 0.000 0.699
0.500 0.500 0.500
0.000 0.500 0.500